No. 1
## NaSrNiF6 (PBE with a Hubbard U)

Data for an optimized crystal structure of NaSrNiF6.

Calculated values
Size of the total moment: 3.17 μB per formula unit
V: 15.00 Å³/atom
VASP energy: -4.585 eV/atom
Space group: No. 149

abc: 5.543 5.543 5.073
angles: 90.00 90.00 120.00
Fractional coordinates of all 9 atoms:
Na (0.000, 0.000, 0.000)
Sr (0.667, 0.333, 0.500)
Ni (0.333, 0.667, 0.000)
F (0.048, 0.380, 0.216)
F (0.048, 0.667, 0.784)
F (0.333, 0.380, 0.784)
F (0.333, 0.952, 0.216)
F (0.620, 0.667, 0.216)
F (0.620, 0.952, 0.784)


No. 2
## FeO3 (PBE with a Hubbard U)

Data for an optimized crystal structure of FeO3.

Calculated values
Size of the total moment: 5.00 μB per formula unit
V: 17.45 Å³/atom
VASP energy: -5.701 eV/atom
Space group: No. 12

abc: 8.843 8.843 5.747
angles: 100.95 100.95 18.46
Fractional coordinates of all 8 atoms:
Fe (0.197, 0.197, 0.306)
Fe (0.803, 0.803, 0.694)
O (0.011, 0.011, 0.109)
O (0.312, 0.312, 0.474)
O (0.317, 0.317, 0.903)
O (0.683, 0.683, 0.097)
O (0.688, 0.688, 0.526)
O (0.989, 0.989, 0.891)


Number 1 is which compound?
NaSrNiF6


What is the formula in the second record?
FeO3


Which of these has the highest size of the total moment?
FeO3